Record 1
DFT (GGA-PBE) results for crystalline CaDy2Co at its relaxed geometry.

Lattice parameters (Å, degrees): 3.8949 3.8949 9.4466 78.10 78.10 60.00
With the nearest neighbours (Å) after each atom.
Element x y z (fractional)
Ca  0.5013  0.5013  0.4962  6 Dy 3.85-3.93, 6 Ca 3.89
Dy  0.0510  0.0510  0.8470  3 Co 2.66
Dy  0.2815  0.2815  0.1555  3 Co 2.66
Co  0.6663  0.6663  0.0012  6 Dy 2.66

Output
energy above the lowest structure with this stoichiometry	59.6	meV/atom
magnetic moment	0.001	μB/f.u.
volume	120.5	Å³ per cell
DFT formation energy	-0.05	eV/atom

Record 2
DFT (GGA-PBE) results for crystalline CaDy2Co at its relaxed geometry.

Lattice parameters (Å, degrees): 3.4092 3.4092 9.4408 90.00 90.00 90.00
With the nearest neighbours (Å) after each atom.
Element x y z (fractional)
Ca  0.5000  0.5000  0.5000  4 Ca 3.41
Co  0.5000  0.5000  0.0000  8 Dy 2.89
Dy  0.0000  0.0000  0.8307  4 Co 2.89, 1 Dy 3.20
Dy  0.0000  0.0000  0.1693  4 Co 2.89, 1 Dy 3.20

Output
energy above the lowest structure with this stoichiometry	60.2	meV/atom
magnetic moment	0.559	μB/f.u.
volume	109.7	Å³ per cell
DFT formation energy	-0.05	eV/atom

Record 3
DFT (GGA-PBE) results for crystalline CaLa2DyCo at its relaxed geometry.

Lattice parameters (Å, degrees): 5.5556 5.4480 5.4480 90.00 90.00 90.00
With the nearest neighbours (Å) after each atom.
Element x y z (fractional)
Ca  0.5000  0.5000  0.5000  4 Dy 3.85, 8 La 3.89
La  0.0000  0.0000  0.5000  2 Co 2.72
La  0.0000  0.5000  0.0000  2 Co 2.72
Dy  0.5000  0.0000  0.0000  2 Co 2.78
Co  0.0000  0.0000  0.0000  4 La 2.72, 2 Dy 2.78

Output
magnetic moment	0.000	μB/f.u.
volume	164.9	Å³ per cell
DFT formation energy	-0.05	eV/atom